1.
The following is a PBE calculation of crystalline CdSbCl at its relaxed geometry, from the Alexandria database.

Properties
Relative energy among the computed polymorphs ... 0 meV/atom
E_form (uncorrected) ... -0.51 eV per atom
Space group ... No. 46
Crystal system ... orthorhombic

Cell: 4.2927 8.1933 7.1121 Å, 125.15 107.59 90.00°
Last column: nearest neighbours and their distance in Å.
Fractional positions:
Sb: 0.6407 0.1714 0.2164  2 Cd 2.78-2.94, 2 Sb 2.86
Cd: 0.7301 0.5799 0.3962  2 Cl 2.63, 2 Sb 2.78-2.94
Cl: 0.4183 0.4446 0.7724  2 Cd 2.63
Cl: 0.1869 0.7134 0.3099  2 Cd 2.63
Cd: 0.8752 0.2247 0.6862  2 Cl 2.63, 2 Sb 2.78-2.94
Sb: 0.9652 0.9962 0.8662  2 Cd 2.78-2.94, 2 Sb 2.86

=====

2.
The following is a PBE calculation of crystalline Cd2SbCl at its relaxed geometry, from the Alexandria database.

Properties
Relative energy among the computed polymorphs ... 0 meV/atom
E_form (uncorrected) ... -0.38 eV per atom
Space group ... No. 122
Crystal system ... tetragonal

Cell: 6.3076 6.3076 8.1954 Å, 67.37 67.37 90.00°
Last column: nearest neighbours and their distance in Å.
Fractional positions:
Cl: 0.5000 0.5000 0.0000  4 Cd 2.87
Cd: 0.8750 0.8910 0.7500  2 Sb 2.76, 2 Cl 2.87
Cd: 0.3750 0.3590 0.7500  2 Sb 2.76, 2 Cl 2.87
Sb: 0.0000 0.0000 0.0000  4 Cd 2.76
Cd: 0.6410 0.1250 0.2500  2 Sb 2.76, 2 Cl 2.87
Cd: 0.1090 0.6250 0.2500  2 Sb 2.76, 2 Cl 2.87
Cl: 0.2500 0.7500 0.5000  4 Cd 2.87
Sb: 0.7500 0.2500 0.5000  4 Cd 2.76

=====

3.
The following is a PBE calculation of crystalline Cd2SbCl at its relaxed geometry, from the Alexandria database.

Properties
Relative energy among the computed polymorphs ... 317 meV/atom
E_form (uncorrected) ... -0.07 eV per atom
Space group ... No. 12
Crystal system ... monoclinic

Cell: 7.3450 7.3450 4.9189 Å, 109.18 109.18 25.27°
Last column: nearest neighbours and their distance in Å.
Fractional positions:
Cd: 0.4720 0.4720 0.4730  1 Sb 3.00, 6 Cd 3.03-3.21
Sb: 0.2500 0.2500 0.2500  4 Cl 2.94, 2 Cd 3.00, 2 Sb 3.21
Cl: 0.7500 0.7500 0.7500  4 Sb 2.94, 2 Cl 3.21
Cd: 0.0280 0.0280 0.0270  1 Sb 3.00, 6 Cd 3.03-3.21

=====

4.
The following is a PBE calculation of crystalline CdSbCl2 at its relaxed geometry, from the Alexandria database.

Properties
Relative energy among the computed polymorphs ... 157 meV/atom
E_form (uncorrected) ... -0.35 eV per atom
Space group ... No. 44
Crystal system ... orthorhombic

Cell: 7.7468 7.7468 7.7468 Å, 154.11 146.09 43.15°
Last column: nearest neighbours and their distance in Å.
Fractional positions:
Cl: 0.9988 0.9988 0.0000  4 Sb 2.88
Cl: 0.7339 0.2339 0.5000  4 Cd 3.00
Cd: 0.2985 0.7985 0.5000  4 Cl 3.00, 2 Sb 3.01
Sb: 0.4689 0.4689 0.0000  4 Cl 2.88, 2 Cd 3.01

=====

5.
The following is a PBE calculation of crystalline Cd2Sb2Cl at its relaxed geometry, from the Alexandria database.

Properties
Relative energy among the computed polymorphs ... 80 meV/atom
E_form (uncorrected) ... -0.11 eV per atom
Space group ... No. 139
Crystal system ... tetragonal

Cell: 5.5152 5.5152 6.2114 Å, 63.64 63.64 90.00°
Last column: nearest neighbours and their distance in Å.
Fractional positions:
Sb: 0.6431 0.6431 0.7138  1 Sb 2.77, 4 Cd 2.94
Sb: 0.3569 0.3569 0.2862  1 Sb 2.77, 4 Cd 2.94
Cl: 0.0000 0.0000 0.0000  2 Sb 3.45, 8 Cd 3.67
Cd: 0.2500 0.7500 0.5000  4 Sb 2.94
Cd: 0.7500 0.2500 0.5000  4 Sb 2.94

=====

6.
The following is a PBE calculation of crystalline CdSbCl at its relaxed geometry, from the Alexandria database.

Properties
Relative energy among the computed polymorphs ... 14 meV/atom
E_form (uncorrected) ... -0.49 eV per atom
Space group ... No. 9
Crystal system ... monoclinic

Cell: 7.9527 7.9527 7.8577 Å, 65.77 65.77 92.73°
Last column: nearest neighbours and their distance in Å.
Fractional positions:
Cl: 0.3397 0.3376 0.5694  3 Cd 2.63-2.90
Sb: 0.9718 0.8290 0.5499  1 Cd 2.80, 2 Sb 2.87-2.88
Sb: 0.8925 0.6451 0.9840  2 Cd 2.81-2.89, 2 Sb 2.87-2.88
Sb: 0.8290 0.9718 0.0499  1 Cd 2.80, 2 Sb 2.87-2.88
Cl: 0.4177 0.8627 0.0040  2 Cd 2.55-2.65
Cd: 0.6728 0.2825 0.3580  2 Cl 2.65-2.66, 2 Sb 2.81-2.89
Cl: 0.8627 0.4177 0.5040  2 Cd 2.55-2.65
Sb: 0.6451 0.8925 0.4840  2 Cd 2.81-2.89, 2 Sb 2.87-2.88
Cl: 0.3376 0.3397 0.0694  3 Cd 2.63-2.90
Cd: 0.2825 0.6728 0.8580  2 Cl 2.65-2.66, 2 Sb 2.81-2.89
Cd: 0.0749 0.1868 0.5168  2 Cl 2.55-2.63, 1 Sb 2.80
Cd: 0.1868 0.0749 0.0168  2 Cl 2.55-2.63, 1 Sb 2.80

=====

| no. | total energy (eV per cell) |
| --- | --- |
| 1 | -16.8 |
| 2 | -18.7 |
| 3 | -8.1 |
| 4 | -10.1 |
| 5 | -12.5 |
| 6 | -33.4 |